A geometry-optimized Mg2FeSbO6 structure. Source: the Alexandria database, functional PBE+U.

Excess energy over the best structure of this formula in the dataset, eV/f.u.: 0.00
Space group: R3, No. 146
E, eV per atom: -6.2620

abc: 5.5387 5.5387 5.5387
angles: 56.10 56.10 56.10
Atoms (fractional coordinates):
Mg  0.0000  0.0000  0.0000
Mg  0.4963  0.4963  0.4963
Fe  0.2103  0.2103  0.2103
Sb  0.7046  0.7046  0.7046
O  0.0863  0.4202  0.8128
O  0.3171  0.9146  0.5928
O  0.4202  0.8128  0.0863
O  0.5928  0.3171  0.9146
O  0.8128  0.0863  0.4202
O  0.9146  0.5928  0.3171